Density functional theory data (PBE+U) for Ni2RuF2 after structural relaxation.

Computed properties:
Calculated total energy = -3.60 eV per atom
Energy relative to the lowest polymorph listed for this composition = 276 meV/atom

a = 4.4633 Å, b = 4.4633 Å, c = 4.5580 Å
α = 60.68°, β = 60.68°, γ = 90.00°
Closest atoms and distances in Å follow each position.
Positions (direct):
Ni 0.7500 0.2500 0.5000  4 F 2.27
Ni 0.2500 0.7500 0.5000  4 F 2.27
F 0.3109 0.3109 0.3782  1 Ru 2.04, 4 Ni 2.27
F 0.6891 0.6891 0.6218  1 Ru 2.04, 4 Ni 2.27
Ru 0.0000 0.0000 0.0000  2 F 2.04